Tb3Pr4Tm8 | PBE | relaxed

The structure in CIF format:
```
data_Tb3Pr4Tm8
_symmetry_space_group_name_H-M 'R -3 m'
_symmetry_Int_Tables_number 166
_symmetry_space_group_name_Hall '-R 3 2"'
_cell_length_a 6.9398
_cell_length_b 6.9398
_cell_length_c 35.3903
_cell_angle_alpha 90.00
_cell_angle_beta 90.00
_cell_angle_gamma 120.00
loop_
_atom_site_label
_atom_site_type_symbol
_atom_site_fract_x
_atom_site_fract_y
_atom_site_fract_z
_atom_site_occupancy
Tb1 Tb 0.0000 0.5000 0.0000 1
Pr1 Pr 0.0000 0.0000 0.0000 1
Pr2 Pr 0.0000 0.0000 0.1634 1
Pr3 Pr 0.0000 0.0000 0.5000 1
Tm1 Tm 0.0000 0.0000 0.2554 1
Tm2 Tm 0.0018 0.5009 0.2512 1
```

Computed properties:
Formation energy   120 meV per atom
Total moment   0.0 μB/f.u.

=====

Tb6Pr16Tm7 | PBE | relaxed

The structure in CIF format:
```
data_Tb6Pr16Tm7
_symmetry_space_group_name_H-M 'F m -3 m'
_symmetry_Int_Tables_number 225
_symmetry_space_group_name_Hall '-F 4 2 3'
_cell_length_a 16.055
_cell_length_b 16.055
_cell_length_c 16.055
_cell_angle_alpha 90.00
_cell_angle_beta 90.00
_cell_angle_gamma 90.00
loop_
_atom_site_label
_atom_site_type_symbol
_atom_site_fract_x
_atom_site_fract_y
_atom_site_fract_z
_atom_site_occupancy
Tb1 Tb 0.000 0.000 0.235 1
Pr1 Pr 0.125 0.125 0.375 1
Pr2 Pr 0.148 0.148 0.148 1
Tm1 Tm 0.000 0.000 0.500 1
Tm2 Tm 0.000 0.250 0.250 1
```

Computed properties:
Formation energy   197 meV per atom
Total moment   0.0 μB/f.u.

=====

TbPr2Tm4 | PBE | relaxed

The structure in CIF format:
```
data_TbPr2Tm4
_symmetry_space_group_name_H-M 'P -1'
_symmetry_Int_Tables_number 2
_cell_length_a 6.148
_cell_length_b 7.962
_cell_length_c 9.449
_cell_angle_alpha 89.88
_cell_angle_beta 89.85
_cell_angle_gamma 75.04
loop_
_symmetry_equiv_pos_as_xyz
'x,y,z'
'-x,-y,-z'
loop_
_atom_site_label
_atom_site_type_symbol
_atom_site_fract_x
_atom_site_fract_y
_atom_site_fract_z
_atom_site_occupancy
Tb1 Tb 0.143 0.071 0.359 1
Pr1 Pr 0.000 0.000 0.000 1
Pr2 Pr 0.000 0.500 0.500 1
Pr3 Pr 0.145 0.571 0.857 1
Tm1 Tm 0.287 0.645 0.217 1
Tm2 Tm 0.289 0.140 0.714 1
Tm3 Tm 0.430 0.213 0.073 1
Tm4 Tm 0.430 0.716 0.571 1
```

Computed properties:
Relative energy among the computed polymorphs   9 meV per atom
Formation energy   24 meV per atom
Total moment   0.0 μB/f.u.

=====

Which formula does entry 3 have? TbPr2Tm4